1.
First-principles (GGA-PBE) data for a relaxed structure of La3Sn2Rh6, as listed in the Alexandria database.

a b c (Å): 8.4096 8.4096 8.4096
angles (deg): 109.47 109.47 109.47
Positions (direct):
La (0.0000, 0.2932, 0.2932)
La (0.0000, 0.7068, 0.7068)
La (0.2932, 0.0000, 0.2932)
La (0.2932, 0.2932, 0.0000)
La (0.7068, 0.0000, 0.7068)
La (0.7068, 0.7068, 0.0000)
Sn (0.0000, 0.0000, 0.5000)
Sn (0.0000, 0.5000, 0.0000)
Sn (0.5000, 0.0000, 0.0000)
Sn (0.5000, 0.5000, 0.5000)
Rh (0.0000, 0.3496, 0.6504)
Rh (0.0000, 0.6504, 0.3496)
Rh (0.3008, 0.6504, 0.6504)
Rh (0.3496, 0.0000, 0.6504)
Rh (0.3496, 0.3496, 0.6992)
Rh (0.3496, 0.6504, 0.0000)
Rh (0.3496, 0.6992, 0.3496)
Rh (0.6504, 0.0000, 0.3496)
Rh (0.6504, 0.3008, 0.6504)
Rh (0.6504, 0.3496, 0.0000)
Rh (0.6504, 0.6504, 0.3008)
Rh (0.6992, 0.3496, 0.3496)

Values from the calculation:
E_form: -0.6972 eV per atom

2.
First-principles (GGA-PBE) data for a relaxed structure of Ca2ZrPt, as listed in the Alexandria database.

a b c (Å): 3.5560 3.5605 9.1393
angles (deg): 90.00 90.10 90.00
Positions (direct):
Ca (0.0000, 0.0000, 0.0000)
Ca (0.4992, 0.5000, 0.3603)
Zr (0.4991, 0.5000, 0.7163)
Pt (0.9984, 0.0000, 0.5987)

Values from the calculation:
E_form: -0.4250 eV per atom
E above lowest polymorph: 0.0 kJ/mol of atoms

3.
First-principles (GGA-PBE) data for a relaxed structure of MgTa2TePb, as listed in the Alexandria database.

a b c (Å): 5.2539 5.2539 6.1414
angles (deg): 90.00 90.00 90.00
Positions (direct):
Mg (0.0000, 0.0000, 0.0000)
Ta (0.0000, 0.5000, 0.5000)
Ta (0.5000, 0.0000, 0.5000)
Te (0.5000, 0.5000, 0.5000)
Pb (0.5000, 0.5000, 0.0000)

Values from the calculation:
raw formation energy: 1508 meV per atom

4.
First-principles (GGA-PBE) data for a relaxed structure of La4Y3Tm2, as listed in the Alexandria database.

a b c (Å): 6.7743 6.7743 14.5784
angles (deg): 115.15 115.15 31.51
Positions (direct):
La (0.2208, 0.2208, 0.1071)
La (0.2766, 0.2766, 0.6277)
La (0.7234, 0.7234, 0.3723)
La (0.7792, 0.7792, 0.8929)
Y (0.4948, 0.4948, 0.1131)
Y (0.5000, 0.5000, 0.5000)
Y (0.5052, 0.5052, 0.8869)
Tm (0.0459, 0.0459, 0.7085)
Tm (0.9541, 0.9541, 0.2915)

Values from the calculation:
E_form: 0.0877 eV per atom
E above lowest polymorph: 5.2 kJ/mol of atoms

5.
First-principles (GGA-PBE) data for a relaxed structure of MgZnSe5, as listed in the Alexandria database.

a b c (Å): 3.8772 3.8772 11.7570
angles (deg): 90.00 90.00 90.00
Positions (direct):
Mg (0.0000, 0.0000, 0.0000)
Zn (0.5000, 0.5000, 0.5000)
Se (0.0000, 0.5000, 0.3322)
Se (0.0000, 0.5000, 0.6678)
Se (0.5000, 0.0000, 0.3322)
Se (0.5000, 0.0000, 0.6678)
Se (0.5000, 0.5000, 0.0000)

Values from the calculation:
raw formation energy: -181 meV per atom

6.
First-principles (GGA-PBE) data for a relaxed structure of GeOsCl3, as listed in the Alexandria database.

a b c (Å): 4.7823 4.7823 4.7823
angles (deg): 90.00 90.00 90.00
Positions (direct):
Ge (0.0000, 0.0000, 0.0000)
Os (0.5000, 0.5000, 0.5000)
Cl (0.0000, 0.5000, 0.5000)
Cl (0.5000, 0.0000, 0.5000)
Cl (0.5000, 0.5000, 0.0000)

Values from the calculation:
raw formation energy: 505 meV per atom
E above lowest polymorph: 0.0 kJ/mol of atoms

7.
First-principles (GGA-PBE) data for a relaxed structure of CeNd5Sn5, as listed in the Alexandria database.

a b c (Å): 7.8843 7.8843 8.8398
angles (deg): 106.31 106.31 47.58
Positions (direct):
Ce (0.0000, 0.0000, 0.0000)
Nd (0.0000, 0.0000, 0.5000)
Nd (0.3300, 0.3300, 0.6669)
Nd (0.3309, 0.3309, 0.1642)
Nd (0.6691, 0.6691, 0.8358)
Nd (0.6700, 0.6700, 0.3331)
Sn (0.1616, 0.1616, 0.8310)
Sn (0.1632, 0.1632, 0.3318)
Sn (0.5000, 0.5000, 0.0000)
Sn (0.8368, 0.8368, 0.6682)
Sn (0.8384, 0.8384, 0.1690)

Values from the calculation:
E_form: -0.4675 eV per atom

8.
First-principles (GGA-PBE) data for a relaxed structure of Pr2YTl9, as listed in the Alexandria database.

a b c (Å): 4.8295 4.8295 14.4772
angles (deg): 90.00 90.00 90.00
Positions (direct):
Pr (0.0000, 0.0000, 0.1686)
Pr (0.0000, 0.0000, 0.8314)
Y (0.0000, 0.0000, 0.5000)
Tl (0.0000, 0.5000, 0.0000)
Tl (0.0000, 0.5000, 0.3371)
Tl (0.0000, 0.5000, 0.6629)
Tl (0.5000, 0.0000, 0.0000)
Tl (0.5000, 0.0000, 0.3371)
Tl (0.5000, 0.0000, 0.6629)
Tl (0.5000, 0.5000, 0.1676)
Tl (0.5000, 0.5000, 0.5000)
Tl (0.5000, 0.5000, 0.8324)

Values from the calculation:
E_form: -0.3024 eV per atom

9.
First-principles (GGA-PBE) data for a relaxed structure of Pr2Y3Mg2, as listed in the Alexandria database.

a b c (Å): 15.8887 15.8887 3.6838
angles (deg): 90.00 90.00 166.36
Positions (direct):
Pr (0.2029, 0.7971, 0.0000)
Pr (0.7971, 0.2029, 0.0000)
Y (0.0764, 0.9236, 0.0000)
Y (0.5000, 0.5000, 0.5000)
Y (0.9236, 0.0764, 0.0000)
Mg (0.3631, 0.6369, 0.5000)
Mg (0.6369, 0.3631, 0.5000)

Values from the calculation:
E_form: 0.0208 eV per atom

Please write out number 5 again, unchanged.
First-principles (GGA-PBE) data for a relaxed structure of MgZnSe5, as listed in the Alexandria database.

a b c (Å): 3.8772 3.8772 11.7570
angles (deg): 90.00 90.00 90.00
Positions (direct):
Mg (0.0000, 0.0000, 0.0000)
Zn (0.5000, 0.5000, 0.5000)
Se (0.0000, 0.5000, 0.3322)
Se (0.0000, 0.5000, 0.6678)
Se (0.5000, 0.0000, 0.3322)
Se (0.5000, 0.0000, 0.6678)
Se (0.5000, 0.5000, 0.0000)

Values from the calculation:
raw formation energy: -181 meV per atom